Below is NaTeRh2F at its PBEsol-relaxed geometry, with properties calculated at the meta-GGA SCAN level.

The structure belongs to space group P4/mmm (No. 123); the cell edges are 4.726, 4.726 and 3.692 Å and the angles 90.00°, 90.00° and 90.00°. Symmetry generates all atoms from Na at (0.000, 0.000, 0.000), Te at (0.500, 0.500, 0.500), Rh at (0.000, 0.500, 0.000) and F at (0.000, 0.000, 0.500).

The calculation puts the electronic total energy at -111.277 eV per formula unit.